Computed, not measured: crystalline ScIn4Pd2 at its relaxed geometry at the GGA-PBE level of DFT.

Results
The value obtained for the formation energy from the elements is -491 meV per atom. The value obtained for the energy is -31.111 eV per cell. Its space-group type is P4/mmm. The density of states at the Fermi level is 0.44 states/eV per atom.

Cell lengths 4.575, 4.575, 7.000 Å; angles 90.00, 90.00, 90.00 degrees
Atoms (fractional coordinates):
Sc 0.000 0.000 0.000
In 0.000 0.500 0.274
In 0.000 0.500 0.726
In 0.500 0.000 0.274
In 0.500 0.000 0.726
Pd 0.000 0.000 0.500
Pd 0.500 0.500 0.000

---

Computed, not measured: crystalline ScInPd4 at its relaxed geometry at the GGA-PBE level of DFT.

Results
The value obtained for the formation energy from the elements is -668 meV per atom. The value obtained for the energy is -67.702 eV per cell. Its space-group type is C2/m. The density of states at the Fermi level is 0.35 states/eV per atom.

Cell lengths 9.416, 3.810, 6.031 Å; angles 90.00, 110.76, 90.00 degrees
Atoms (fractional coordinates):
Sc 0.000 0.000 0.000
Sc 0.500 0.500 0.000
In 0.000 0.000 0.500
In 0.500 0.500 0.500
Pd 0.162 0.500 0.325
Pd 0.165 0.500 0.833
Pd 0.335 0.000 0.167
Pd 0.338 0.000 0.675
Pd 0.662 0.000 0.325
Pd 0.665 0.000 0.833
Pd 0.835 0.500 0.167
Pd 0.838 0.500 0.675

---

Computed, not measured: crystalline ScIn2Pd8 at its relaxed geometry at the GGA-PBE level of DFT.

Results
The value obtained for the formation energy from the elements is -535 meV per atom. The value obtained for the energy is -59.241 eV per cell. Its space-group type is Immm. Its energy above the most stable polymorph in this dataset is 0.015 eV per atom. The density of states at the Fermi level is 0.42 states/eV per atom.

Cell lengths 7.521, 7.521, 7.521 Å; angles 148.55, 119.43, 69.85 degrees
Atoms (fractional coordinates):
Sc 0.000 0.000 0.000
In 0.331 0.331 0.000
In 0.669 0.669 0.000
Pd 0.092 0.835 0.257
Pd 0.158 0.658 0.500
Pd 0.266 0.500 0.766
Pd 0.422 0.165 0.257
Pd 0.578 0.835 0.743
Pd 0.734 0.500 0.234
Pd 0.842 0.342 0.500
Pd 0.908 0.165 0.743

---

Computed, not measured: crystalline Sc6InPd12 at its relaxed geometry at the GGA-PBE level of DFT.

Results
The value obtained for the formation energy from the elements is -765 meV per atom. The value obtained for the energy is -117.584 eV per cell. Its space-group type is R-3. The density of states at the Fermi level is 0.41 states/eV per atom.

Cell lengths 7.653, 7.653, 7.653 Å; angles 110.93, 110.93, 110.93 degrees
Atoms (fractional coordinates):
Sc 0.079 0.573 0.358
Sc 0.358 0.079 0.573
Sc 0.427 0.642 0.921
Sc 0.573 0.358 0.079
Sc 0.642 0.921 0.427
Sc 0.921 0.427 0.642
In 0.000 0.000 0.000
Pd 0.112 0.172 0.740
Pd 0.172 0.740 0.112
Pd 0.206 0.327 0.476
Pd 0.260 0.888 0.828
Pd 0.327 0.476 0.206
Pd 0.476 0.206 0.327
Pd 0.524 0.794 0.673
Pd 0.673 0.524 0.794
Pd 0.740 0.112 0.172
Pd 0.794 0.673 0.524
Pd 0.828 0.260 0.888
Pd 0.888 0.828 0.260

---

Computed, not measured: crystalline Sc2InPd2 at its relaxed geometry at the GGA-PBE level of DFT.

Results
The value obtained for the formation energy from the elements is -551 meV per atom. The value obtained for the energy is -57.081 eV per cell. Its space-group type is I4/mmm. The density of states at the Fermi level is 0.62 states/eV per atom.

Cell lengths 5.103, 5.103, 8.150 Å; angles 90.00, 90.00, 90.00 degrees
Atoms (fractional coordinates):
Sc 0.000 0.500 0.250
Sc 0.000 0.500 0.750
Sc 0.500 0.000 0.250
Sc 0.500 0.000 0.750
In 0.000 0.000 0.000
In 0.500 0.500 0.500
Pd 0.000 0.000 0.347
Pd 0.000 0.000 0.653
Pd 0.500 0.500 0.153
Pd 0.500 0.500 0.847

---

Computed, not measured: crystalline ScInPd14 at its relaxed geometry at the GGA-PBE level of DFT.

Results
The value obtained for the formation energy from the elements is -313 meV per atom. The value obtained for the energy is -86.775 eV per cell. Its space-group type is P4/mmm. The density of states at the Fermi level is 1.67 states/eV per atom.

Cell lengths 5.666, 5.666, 7.901 Å; angles 90.00, 90.00, 90.00 degrees
Atoms (fractional coordinates):
Sc 0.000 0.000 0.000
In 0.500 0.500 0.000
Pd 0.000 0.000 0.500
Pd 0.000 0.500 0.000
Pd 0.000 0.500 0.500
Pd 0.249 0.249 0.251
Pd 0.249 0.249 0.749
Pd 0.249 0.751 0.251
Pd 0.249 0.751 0.749
Pd 0.500 0.000 0.000
Pd 0.500 0.000 0.500
Pd 0.500 0.500 0.500
Pd 0.751 0.249 0.251
Pd 0.751 0.249 0.749
Pd 0.751 0.751 0.251
Pd 0.751 0.751 0.749